Run a
Below is a relaxed structure of NaTe3S, with properties calculated at the GGA-PBE level.

Unit cell a=5.455 b=5.455 c=5.455 alpha=90.00 beta=90.00 gamma=90.00
Fractional positions:
1 Te 0.000 0.500 0.000
2 Te 0.000 0.000 0.500
3 Te 0.500 0.000 0.000
4 S 0.500 0.500 0.500
5 Na 0.000 0.000 0.000

Values from the calculation:
DOS(E_F)   7.1 states/eV per cell

---

Run b
Below is a relaxed structure of NaTe3S, with properties calculated at the GGA-PBE level.

Unit cell a=5.352 b=5.352 c=5.352 alpha=90.00 beta=90.00 gamma=90.00
Fractional positions:
1 S 0.000 0.000 0.000
2 Te 0.000 0.000 0.500
3 Te 0.500 0.000 0.000
4 Te 0.000 0.500 0.000
5 Na 0.500 0.500 0.500

Values from the calculation:
DOS(E_F)   3.2 states/eV per cell

---

The winner here is run b, beating the second structure by 857 meV per atom.

---

Run a
Below is a relaxed structure of Na2Ti2S, with properties calculated at the GGA-PBE level.

Unit cell a=6.613 b=6.613 c=5.488 alpha=90.00 beta=90.00 gamma=90.00
Fractional positions:
1 Ti 0.619 0.881 0.500
2 S 0.500 0.500 0.000
3 Na 0.347 0.847 0.000
4 Na 0.153 0.347 0.000
5 Na 0.847 0.653 0.000
6 Na 0.653 0.153 0.000
7 Ti 0.381 0.119 0.500
8 S 0.000 0.000 0.000
9 Ti 0.119 0.619 0.500
10 Ti 0.881 0.381 0.500

Values from the calculation:
DOS(E_F)   6.6 states/eV per cell

---

Run b
Below is a relaxed structure of Na2Ti2S, with properties calculated at the GGA-PBE level.

Unit cell a=3.545 b=3.545 c=9.806 alpha=79.58 beta=79.58 gamma=90.00
Fractional positions:
1 Ti 0.250 0.750 0.500
2 Ti 0.750 0.250 0.500
3 S 0.000 0.000 0.000
4 Na 0.422 0.422 0.156
5 Na 0.578 0.578 0.844

Values from the calculation:
DOS(E_F)   7.2 states/eV per cell

---

The winner here is run b, beating the second structure by 333 meV per atom.

---

Run a
Below is a relaxed structure of NaTi3S, with properties calculated at the GGA-PBE level.

Unit cell a=4.607 b=4.607 c=4.607 alpha=90.00 beta=90.00 gamma=90.00
Fractional positions:
1 Ti 0.500 0.000 0.000
2 Ti 0.000 0.500 0.000
3 Ti 0.000 0.000 0.500
4 Na 0.500 0.500 0.500
5 S 0.000 0.000 0.000

Values from the calculation:
DOS(E_F)   5.2 states/eV per cell

---

Run b
Below is a relaxed structure of NaTi3S, with properties calculated at the GGA-PBE level.

Unit cell a=4.718 b=4.718 c=4.718 alpha=90.00 beta=90.00 gamma=90.00
Fractional positions:
1 Ti 0.000 0.000 0.500
2 S 0.500 0.500 0.500
3 Na 0.000 0.000 0.000
4 Ti 0.500 0.000 0.000
5 Ti 0.000 0.500 0.000

Values from the calculation:
DOS(E_F)   4.9 states/eV per cell

---

The winner here is run a, beating the second structure by 1681 meV per atom.

---

Run a
Below is a relaxed structure of NaTlS, with properties calculated at the GGA-PBE level.

Unit cell a=5.687 b=4.169 c=4.169 alpha=120.00 beta=90.00 gamma=90.00
Fractional positions:
1 Na 0.752 0.667 0.333
2 S 0.984 0.000 0.000
3 Tl 0.264 0.333 0.667

Values from the calculation:
DOS(E_F)   0.0 states/eV per cell

---

Run b
Below is a relaxed structure of NaTlS, with properties calculated at the GGA-PBE level.

Unit cell a=5.003 b=5.003 c=5.003 alpha=60.00 beta=60.00 gamma=60.00
Fractional positions:
1 Na 0.500 0.500 0.500
2 S 0.250 0.250 0.250
3 Tl 0.000 0.000 0.000

---

The winner here is run a, beating the second structure by 67 meV per atom.

---

Run a
Below is a relaxed structure of NaTlS, with properties calculated at the GGA-PBE level.

Unit cell a=4.495 b=4.495 c=9.975 alpha=90.06 beta=102.96 gamma=120.00
Fractional positions:
1 Na 0.599 0.799 0.398
2 Na 0.401 0.201 0.602
3 S 0.799 0.900 0.698
4 Tl 0.759 0.379 0.138
5 S 0.201 0.100 0.302
6 Tl 0.241 0.621 0.862

Values from the calculation:
DOS(E_F)   0.0 states/eV per cell

---

Run b
Below is a relaxed structure of NaTlS, with properties calculated at the GGA-PBE level.

Unit cell a=4.411 b=4.411 c=11.212 alpha=78.66 beta=78.66 gamma=60.00
Fractional positions:
1 Tl 0.119 0.119 0.644
2 Tl 0.881 0.881 0.356
3 S 0.000 0.000 0.000
4 Na 0.636 0.636 0.093
5 S 0.500 0.500 0.500
6 Na 0.364 0.364 0.907

---

The winner here is run a, beating the second structure by 89 meV per atom.

---

Run a
Below is a relaxed structure of NaTlS, with properties calculated at the GGA-PBE level.

Unit cell a=3.655 b=3.655 c=6.380 alpha=106.64 beta=106.64 gamma=90.00
Fractional positions:
1 Na 0.324 0.324 0.647
2 S 0.944 0.944 0.888
3 Tl 0.582 0.582 0.164

---

Run b
Below is a relaxed structure of NaTlS, with properties calculated at the GGA-PBE level.

Unit cell a=7.345 b=7.345 c=9.104 alpha=124.12 beta=124.12 gamma=67.02
Fractional positions:
1 Tl 0.625 0.375 0.750
2 S 0.430 0.930 0.500
3 Tl 0.625 0.875 0.250
4 Na 0.377 0.877 0.753
5 S 0.070 0.570 0.500
6 Na 0.127 0.127 0.253
7 Tl 0.625 0.375 0.250
8 S 0.820 0.820 0.000
9 Na 0.873 0.873 0.747
10 Na 0.123 0.623 0.247
11 S 0.180 0.180 0.000
12 Tl 0.125 0.375 0.750

Values from the calculation:
DOS(E_F)   5.6 states/eV per cell

---

The winner here is run b, beating the second structure by 19 meV per atom.

---

Run a
Below is a relaxed structure of NaTl3S, with properties calculated at the GGA-PBE level.

Unit cell a=5.800 b=5.800 c=5.800 alpha=90.00 beta=90.00 gamma=90.00
Fractional positions:
1 Tl 0.000 0.500 0.000
2 Tl 0.500 0.000 0.000
3 Tl 0.000 0.000 0.500
4 S 0.000 0.000 0.000
5 Na 0.500 0.500 0.500

Values from the calculation:
DOS(E_F)   4.1 states/eV per cell

---

Run b
Below is a relaxed structure of NaTl3S, with properties calculated at the GGA-PBE level.

Unit cell a=5.585 b=5.585 c=5.585 alpha=90.00 beta=90.00 gamma=90.00
Fractional positions:
1 Tl 0.000 0.000 0.500
2 Tl 0.000 0.500 0.000
3 Na 0.000 0.000 0.000
4 S 0.500 0.500 0.500
5 Tl 0.500 0.000 0.000

Values from the calculation:
DOS(E_F)   1.1 states/eV per cell

---

The winner here is run a, beating the second structure by 319 meV per atom.

---

Run a
Below is a relaxed structure of Na2TlS, with properties calculated at the GGA-PBE level.

Unit cell a=4.893 b=4.893 c=9.971 alpha=75.80 beta=75.80 gamma=90.00
Fractional positions:
1 Na 0.875 0.808 0.750
2 S 0.500 0.500 0.000
3 Na 0.375 0.442 0.750
4 S 0.250 0.750 0.500
5 Tl 0.750 0.250 0.500
6 Tl 0.000 0.000 0.000
7 Na 0.192 0.625 0.250
8 Na 0.558 0.125 0.250

Values from the calculation:
DOS(E_F)   1.0 states/eV per cell

---

Run b
Below is a relaxed structure of Na2TlS, with properties calculated at the GGA-PBE level.

Unit cell a=5.169 b=5.169 c=5.169 alpha=60.00 beta=60.00 gamma=60.00
Fractional positions:
1 S 0.000 0.000 0.000
2 Na 0.750 0.750 0.750
3 Tl 0.500 0.500 0.500
4 Na 0.250 0.250 0.250

Values from the calculation:
DOS(E_F)   1.5 states/eV per cell

---

The winner here is run b, beating the second structure by 54 meV per atom.